! Tb2DyTmS4 PBE-GGA optimized geometry; values from VASP
! Uncorrected formation energy (eV per atom): -1.9838
! Space group: No. 10
&SYSTEM
  ibrav = 0, nat = 8, ntyp = 4
/
ATOMIC_SPECIES
Tb 158.93 Tb.upf
Dy 162.50 Dy.upf
Tm 168.93 Tm.upf
S 32.06 S.upf
CELL_PARAMETERS angstrom
6.761 0.000 0.000
0.000 3.864 0.000
-2.216 0.000 6.423
ATOMIC_POSITIONS angstrom
Tb 0.000 0.000 0.000
Tb 3.380 1.932 0.000
Dy -1.108 1.932 3.211
Tm 2.272 0.000 3.211
S 0.047 0.000 4.789
S 1.156 1.932 1.647
S 3.389 1.932 4.776
S 4.498 0.000 1.633